1.
The following is a PBE calculation of a relaxed LiTi2Cl crystal, from Alexandria via LeMat-Bulk.

The total energy is -72.2 eV per cell. The density comes out at 3.65 g/cm³. The calculation puts the total magnetization at 0.00 Bohr magnetons per cell.

The structure belongs to space group Fm-3m (No. 225); the cell edges are 6.310, 6.310 and 6.310 Å and the angles 90.00°, 90.00° and 90.00°. Symmetry generates all atoms from Li at (0.000, 0.000, 0.000), Ti at (0.250, 0.250, 0.250) and Cl at (0.000, 0.000, 0.500).

***

2.
The following is a PBE calculation of a relaxed DyTm4Sc5 crystal, from Alexandria via LeMat-Bulk.

The density comes out at 6.28 g/cm³. As for the energy of formation from the pure elements: 29.1 kJ/mol of atoms. The calculation puts the total magnetization at 0.00 Bohr magnetons per cell.

The structure belongs to space group I4 (No. 79); the cell edges are 9.661, 9.661 and 6.020 Å and the angles 90.00°, 90.00° and 90.00°. Symmetry generates all atoms from Dy at (0.000, 0.000, 0.000), Tm at (0.049, 0.657, 0.223), Sc at (0.000, 0.000, 0.461) and Sc at (0.143, 0.771, 0.717).